The following is a PBE+U calculation of a relaxed structure of VGeIO2, from the Alexandria database.

It has space group P4/mmm (No. 123), with a = 4.000 Å, b = 4.000 Å, c = 5.531 Å, α = 90.00°, β = 90.00° and γ = 90.00°. The inequivalent atoms are V at (0.000, 0.000, 0.000), Ge at (0.500, 0.500, 0.500), I at (0.000, 0.000, 0.500) and O at (0.000, 0.500, 0.000).

For the energy above the most stable polymorph in this dataset, the calculation gives 0.00 eV per formula unit. The value obtained for the total moment is 0.3515 μB/atom. Its total energy is -5.15 eV per atom. For the density of states at the Fermi level, the calculation gives 0.59 states/eV/atom.